(1)
This record from the Alexandria database describes an optimized crystal structure of CuTcGe2Te. The functional is GGA-PBE.

abc: 5.428 5.428 4.971
angles: 90.00 90.00 90.00
Atoms (fractional coordinates):
Cu1 0.000 0.000 0.000
Tc1 0.500 0.500 0.000
Ge1 0.000 0.500 0.500
Ge2 0.500 0.000 0.500
Te1 0.500 0.500 0.500

Results
Crystal system ... tetragonal
E_form (uncorrected) ... 1.567 eV per atom

(2)
This record from the Alexandria database describes an optimized crystal structure of TcAg. The functional is GGA-PBE.

abc: 6.361 6.361 6.361
angles: 90.00 90.00 90.00
Atoms (fractional coordinates):
Tc1 0.125 0.125 0.125
Tc2 0.125 0.625 0.625
Tc3 0.375 0.375 0.875
Tc4 0.375 0.875 0.375
Tc5 0.625 0.125 0.625
Tc6 0.625 0.625 0.125
Tc7 0.875 0.375 0.375
Tc8 0.875 0.875 0.875
Ag1 0.125 0.125 0.625
Ag2 0.125 0.625 0.125
Ag3 0.375 0.375 0.375
Ag4 0.375 0.875 0.875
Ag5 0.625 0.125 0.125
Ag6 0.625 0.625 0.625
Ag7 0.875 0.375 0.875
Ag8 0.875 0.875 0.375

Results
Crystal system ... cubic
Formation enthalpy at 0 K ... 0.69 eV per atom

(3)
This record from the Alexandria database describes an optimized crystal structure of PmCdPt2. The functional is GGA-PBE.

abc: 4.688 4.688 13.435
angles: 90.00 90.00 120.00
Atoms (fractional coordinates):
Pm1 0.000 0.000 0.000
Pm2 0.333 0.667 0.667
Pm3 0.667 0.333 0.333
Cd1 0.000 0.000 0.500
Cd2 0.333 0.667 0.167
Cd3 0.667 0.333 0.833
Pt1 0.000 0.000 0.221
Pt2 0.000 0.000 0.779
Pt3 0.333 0.667 0.446
Pt4 0.333 0.667 0.888
Pt5 0.667 0.333 0.112
Pt6 0.667 0.333 0.554

Results
Crystal system ... trigonal
Formation enthalpy at 0 K ... -0.77 eV per atom

(4)
This record from the Alexandria database describes an optimized crystal structure of Na2NdPuSe4. The functional is GGA-PBE.

abc: 7.371 4.257 7.398
angles: 90.00 109.56 90.00
Atoms (fractional coordinates):
Na1 0.000 0.000 0.000
Na2 0.500 0.500 0.000
Nd1 0.000 0.500 0.500
Pu1 0.500 0.000 0.500
Se1 0.249 0.000 0.736
Se2 0.261 0.500 0.269
Se3 0.739 0.500 0.731
Se4 0.751 0.000 0.264

Results
Crystal system ... monoclinic
E_form (uncorrected) ... -1.534 eV per atom